The following is a DFT calculation (PBE) of a relaxed structure of CdAsPbCl2.

abc: 4.954 4.954 6.147
angles: 90.00 90.00 90.00
Space group P4/mmm (No. 123)
Unique sites:
Cd 0.000 0.000 0.000 x1
As 0.500 0.500 0.500 x1
Pb 0.500 0.500 0.000 x1
Cl 0.000 0.500 0.500 x2

Calculated values
uncorrected formation energy: -0.5 eV per formula unit
V: 150.83 Å³/cell
M_tot: 0.00 μB/atom

***

The following is a DFT calculation (PBE) of a relaxed structure of CdAsPt2Cl.

abc: 4.584 4.584 5.060
angles: 90.00 90.00 90.00
Space group P4/mmm (No. 123)
Unique sites:
Cd 0.000 0.000 0.000 x1
As 0.500 0.500 0.000 x1
Pt 0.000 0.500 0.500 x2
Cl 0.500 0.500 0.500 x1

Calculated values
uncorrected formation energy: 4.5 eV per formula unit
V: 106.30 Å³/cell
M_tot: 0.00 μB/atom

***

The following is a DFT calculation (PBE) of a relaxed structure of RbCdAsCl6.

abc: 6.7925 6.7925 7.3123
angles: 90.00 90.00 120.00
Space group P312 (No. 149)
Unique sites:
Rb 0.0000 0.0000 0.0000 x1
Cd 0.6667 0.3333 0.5000 x1
As 0.3333 0.6667 0.5000 x1
Cl 0.0151 0.3815 0.7018 x6

Calculated values
uncorrected formation energy: -10.0 eV per formula unit
V: 292.18 Å³/cell
M_tot: 0.00 μB/atom

***

The following is a DFT calculation (PBE) of a relaxed structure of Rb2CdAsCl6.

abc: 7.504 7.504 10.578
angles: 90.00 90.00 90.00
Space group I4/mmm (No. 139)
Unique sites:
Rb 0.000 0.500 0.250 x4
Cd 0.000 0.000 0.000 x2
As 0.000 0.000 0.500 x2
Cl 0.000 0.000 0.255 x4
Cl 0.241 0.241 0.500 x8

Calculated values
uncorrected formation energy: -12.0 eV per formula unit
V: 595.56 Å³/cell
M_tot: 0.00 μB/atom

***

The following is a DFT calculation (PBE) of a relaxed structure of CdAsS2Cl.

abc: 4.883 4.883 4.806
angles: 90.00 90.00 90.00
Space group P4/mmm (No. 123)
Unique sites:
Cd 0.000 0.000 0.000 x1
As 0.500 0.500 0.500 x1
S 0.000 0.500 0.500 x2
Cl 0.500 0.500 0.000 x1

Calculated values
uncorrected formation energy: 0.6 eV per formula unit
V: 114.60 Å³/cell
M_tot: 0.00 μB/atom
ΔE to the lowest computed polymorph: 0 meV/atom

***

The following is a DFT calculation (PBE) of a relaxed structure of CdAsS2Cl.

abc: 5.017 5.017 4.918
angles: 90.00 90.00 90.00
Space group P4/mmm (No. 123)
Unique sites:
Cd 0.000 0.000 0.000 x1
As 0.500 0.500 0.500 x1
S 0.000 0.500 0.000 x2
Cl 0.000 0.000 0.500 x1

Calculated values
uncorrected formation energy: 3.0 eV per formula unit
V: 123.79 Å³/cell
M_tot: 0.00 μB/atom
ΔE to the lowest computed polymorph: 474 meV/atom